Entry from the Alexandria database: a relaxed Mn2ReRu2 crystal (PBE-GGA).

Output
* electronic total energy: -0.35675 hartree per atom
* density: 12.66 g/cm³
* M_tot: 0.00 μB per atom

Lattice parameters (Å, degrees): 6.956 6.956 2.702 90.00 90.00 90.00
Element x y z (fractional)
Mn 0.120 0.380 0.000
Mn 0.380 0.880 0.000
Mn 0.620 0.120 0.000
Mn 0.880 0.620 0.000
Re 0.000 0.000 0.000
Re 0.500 0.500 0.000
Ru 0.174 0.674 0.500
Ru 0.326 0.174 0.500
Ru 0.674 0.826 0.500
Ru 0.826 0.326 0.500